This record from Alexandria describes a PBEsol-optimized structure of CoSiI2O. The functional is SCAN.

a = 5.3000 Å, b = 5.3000 Å, c = 3.5025 Å
α = 90.00°, β = 90.00°, γ = 90.00°
Closest atoms and distances in Å follow each position.
Space group P4/mmm (No. 123)
Unique sites:
Co 0.0000 0.0000 0.0000 (multiplicity 1)  2 O 1.75
Si 0.5000 0.5000 0.5000 (multiplicity 1)  8 I 3.18, 2 Si 3.50
I 0.0000 0.5000 0.0000 (multiplicity 2)  2 Co 2.65
O 0.0000 0.0000 0.5000 (multiplicity 1)  2 Co 1.75

Properties
total moment = 2.63 μB per formula unit
E = -21.252 eV per atom